# 1
First-principles (SCAN) data for a PBEsol-optimized structure of ReTc2Ni, as listed in the Alexandria database.

Calculated values
Distance to the lowest polymorph of the same formula (kJ/mol of atoms): 11.89
E_form (meV per atom): 124
Total DFT energy (no corrections) (eV/cell): -156.89

Lattice parameters (Å, degrees): 2.6807 2.6807 8.7877 81.23 81.23 60.00
With the nearest neighbours (Å) after each atom.
Fractional positions:
1 Re 0.5000 0.5000 0.5000  6 Re 2.68, 6 Tc 2.71
2 Tc 0.7476 0.7476 0.7571  3 Ni 2.61, 6 Tc 2.68, 3 Re 2.71
3 Tc 0.2524 0.2524 0.2429  3 Ni 2.61, 6 Tc 2.68, 3 Re 2.71
4 Ni 0.0000 0.0000 0.0000  6 Tc 2.61, 6 Ni 2.68

=====

# 2
First-principles (SCAN) data for a PBEsol-optimized structure of ReTcNi2, as listed in the Alexandria database.

Calculated values
Distance to the lowest polymorph of the same formula (kJ/mol of atoms): 0.00
E_form (meV per atom): -27
Total DFT energy (no corrections) (eV/cell): -138.61

Lattice parameters (Å, degrees): 2.5954 4.1825 4.5172 90.00 89.99 90.00
With the nearest neighbours (Å) after each atom.
Fractional positions:
1 Ni 0.8755 0.0000 0.9724  4 Ni 2.50-2.60, 4 Re 2.56-2.65, 4 Tc 2.59-2.60
2 Ni 0.8747 0.5000 0.2766  4 Ni 2.50-2.60, 4 Tc 2.55-2.66, 4 Re 2.60
3 Re 0.3749 0.0000 0.4601  8 Ni 2.56-2.65, 2 Tc 2.57, 2 Re 2.60
4 Tc 0.3749 0.5000 0.7909  8 Ni 2.55-2.66, 2 Re 2.57, 2 Tc 2.60

=====

# 3
First-principles (SCAN) data for a PBEsol-optimized structure of Re2TcNi, as listed in the Alexandria database.

Calculated values
Distance to the lowest polymorph of the same formula (kJ/mol of atoms): 7.02
E_form (meV per atom): 81
Total DFT energy (no corrections) (eV/cell): -193.10

Lattice parameters (Å, degrees): 2.7196 4.5948 4.6176 99.75 90.00 107.21
With the nearest neighbours (Å) after each atom.
Fractional positions:
1 Re 0.2488 0.4976 0.2450  6 Re 2.64-2.72, 3 Ni 2.65, 3 Tc 2.66-2.68
2 Ni 0.5000 0.0000 0.0000  6 Re 2.65, 4 Tc 2.68, 2 Ni 2.72
3 Tc 0.0000 0.0000 0.5000  6 Re 2.66-2.68, 4 Ni 2.68, 2 Tc 2.72
4 Re 0.7512 0.5024 0.7550  6 Re 2.64-2.72, 3 Ni 2.65, 3 Tc 2.66-2.68

=====

# 4
First-principles (SCAN) data for a PBEsol-optimized structure of ReTc2Ni, as listed in the Alexandria database.

Calculated values
Distance to the lowest polymorph of the same formula (kJ/mol of atoms): 0.00
E_form (meV per atom): 1
Total DFT energy (no corrections) (eV/cell): -157.39

Lattice parameters (Å, degrees): 3.7856 3.7856 4.5695 114.47 114.47 90.00
With the nearest neighbours (Å) after each atom.
Fractional positions:
1 Tc 0.7500 0.2500 0.5000  4 Re 2.65, 4 Ni 2.65, 4 Tc 2.68
2 Tc 0.2500 0.7500 0.5000  4 Re 2.65, 4 Ni 2.65, 4 Tc 2.68
3 Re 0.5000 0.5000 0.0000  8 Tc 2.65, 4 Ni 2.68
4 Ni 0.0000 0.0000 0.0000  8 Tc 2.65, 4 Re 2.68

=====

# 5
First-principles (SCAN) data for a PBEsol-optimized structure of ReTcNi2, as listed in the Alexandria database.

Calculated values
Distance to the lowest polymorph of the same formula (kJ/mol of atoms): 15.74
E_form (meV per atom): 136
Total DFT energy (no corrections) (eV/cell): -137.96

Lattice parameters (Å, degrees): 2.6125 4.4869 4.5319 99.54 90.00 106.93
With the nearest neighbours (Å) after each atom.
Fractional positions:
1 Tc 0.0000 0.0000 0.5000  6 Ni 2.60, 2 Tc 2.61, 4 Re 2.62
2 Re 0.5000 0.0000 0.0000  6 Ni 2.59-2.60, 2 Re 2.61, 4 Tc 2.62
3 Ni 0.7503 0.5005 0.7517  3 Re 2.59-2.60, 3 Tc 2.60, 6 Ni 2.60-2.63
4 Ni 0.2497 0.4995 0.2483  3 Re 2.59-2.60, 3 Tc 2.60, 6 Ni 2.60-2.63

=====

# 6
First-principles (SCAN) data for a PBEsol-optimized structure of ReTcNi2, as listed in the Alexandria database.

Calculated values
Distance to the lowest polymorph of the same formula (kJ/mol of atoms): 9.95
E_form (meV per atom): 76
Total DFT energy (no corrections) (eV/cell): -138.20

Lattice parameters (Å, degrees): 2.5650 3.7649 5.1014 90.00 90.00 90.00
With the nearest neighbours (Å) after each atom.
Fractional positions:
1 Ni 0.0000 0.0000 0.7513  4 Ni 2.54-2.56, 4 Re 2.61, 4 Tc 2.61
2 Ni 0.0000 0.0000 0.2487  4 Ni 2.54-2.56, 4 Re 2.61, 4 Tc 2.61
3 Tc 0.5000 0.5000 0.5000  2 Re 2.55, 2 Tc 2.56, 8 Ni 2.61
4 Re 0.5000 0.5000 0.0000  2 Tc 2.55, 2 Re 2.56, 8 Ni 2.61

=====

# 7
First-principles (SCAN) data for a PBEsol-optimized structure of Zr2ReTcNi, as listed in the Alexandria database.

Calculated values
E_form (meV per atom): 1071
Total DFT energy (no corrections) (eV/cell): -178.37

Lattice parameters (Å, degrees): 4.5349 4.8839 4.8839 90.00 90.00 90.00
With the nearest neighbours (Å) after each atom.
Fractional positions:
1 Zr 0.0000 0.0000 0.5000  2 Tc 2.44
2 Zr 0.0000 0.5000 0.0000  2 Tc 2.44
3 Ni 0.5000 0.5000 0.5000  8 Zr 3.33, 4 Re 3.45
4 Re 0.5000 0.0000 0.0000  2 Tc 2.27
5 Tc 0.0000 0.0000 0.0000  2 Re 2.27, 4 Zr 2.44

=====

# 8
First-principles (SCAN) data for a PBEsol-optimized structure of TiRe3Ni, as listed in the Alexandria database.

Calculated values
E_form (meV per atom): 1459
Total DFT energy (no corrections) (eV/cell): -238.20

Lattice parameters (Å, degrees): 4.3666 4.3666 4.3666 90.00 90.00 90.00
With the nearest neighbours (Å) after each atom.
Fractional positions:
1 Re 0.0000 0.0000 0.5000  2 Ni 2.18
2 Re 0.5000 0.0000 0.0000  2 Ni 2.18
3 Ni 0.0000 0.0000 0.0000  6 Re 2.18
4 Re 0.0000 0.5000 0.0000  2 Ni 2.18
5 Ti 0.5000 0.5000 0.5000  12 Re 3.09